1.
The following is a DFT calculation (PBE) of a relaxed YTm8Al2 crystal.

Cell and atoms, written as POSCAR:
```
YTm8Al2
1.0
5.453 -0.279 -0.418
-1.308 8.326 -0.556
-1.308 -3.720 7.470
Y Tm Al
1 8 2
direct
0.500 0.000 0.000
0.887 0.911 0.673
0.887 0.673 0.911
0.297 0.596 0.596
0.500 0.777 0.223
0.500 0.223 0.777
0.703 0.404 0.404
0.113 0.327 0.089
0.113 0.089 0.327
0.000 0.308 0.692
0.000 0.692 0.308
```

Computed properties:
- magnetic moment (μB/f.u.) = 0.0
- ΔE_f (eV/atom) = 0.017
- space-group type = C2/m



2.
The following is a DFT calculation (PBE) of a relaxed Y4TmAl5 crystal.

Cell and atoms, written as POSCAR:
```
Y4TmAl5
1.0
-2.800 2.240 0.071
-0.171 -0.101 -3.581
-11.252 -14.093 0.932
Y Tm Al
4 1 5
direct
0.000 0.000 0.197
0.000 0.000 0.399
0.000 0.000 0.601
0.000 0.000 0.803
0.000 0.000 0.000
0.500 0.500 0.096
0.500 0.500 0.298
0.500 0.500 0.500
0.500 0.500 0.702
0.500 0.500 0.904
```

Computed properties:
- magnetic moment (μB/f.u.) = 0.0
- ΔE_f (eV/atom) = -0.411
- space-group type = P4/mmm



3.
The following is a DFT calculation (PBE) of a relaxed YTm2Al6 crystal.

Cell and atoms, written as POSCAR:
```
YTm2Al6
1.0
3.424 0.000 0.000
0.000 6.831 -3.944
0.000 0.000 7.888
Y Tm Al
1 2 6
direct
0.000 0.000 0.000
0.000 0.333 0.667
0.000 0.667 0.333
0.500 0.334 0.334
0.500 0.666 0.666
0.500 0.000 0.666
0.500 0.666 0.000
0.500 0.334 0.000
0.500 0.000 0.334
```

Computed properties:
- magnetic moment (μB/f.u.) = 0.0
- ΔE_f (eV/atom) = -0.488
- space-group type = P6/mmm



4.
The following is a DFT calculation (PBE) of a relaxed Y4TmAl4 crystal.

Cell and atoms, written as POSCAR:
```
Y4TmAl4
1.0
-1.403 -5.033 2.518
5.456 -4.253 -5.459
6.583 1.048 5.763
Y Tm Al
8 2 8
direct
0.383 0.426 0.832
0.883 0.668 0.926
0.383 0.574 0.168
0.117 0.074 0.668
0.617 0.832 0.574
0.117 0.926 0.332
0.883 0.332 0.074
0.617 0.168 0.426
0.000 0.000 0.000
0.500 0.500 0.500
0.601 0.906 0.194
0.601 0.094 0.806
0.101 0.694 0.594
0.899 0.406 0.694
0.899 0.594 0.306
0.399 0.194 0.094
0.399 0.806 0.906
0.101 0.306 0.406
```

Computed properties:
- magnetic moment (μB/f.u.) = 0.0
- ΔE_f (eV/atom) = -0.180
- space-group type = P4_2/n



5.
The following is a DFT calculation (PBE) of a relaxed Tm3Al5Zn6 crystal.

Cell and atoms, written as POSCAR:
```
Tm3Al5Zn6
1.0
-2.465 -0.052 -3.430
6.842 -4.921 -4.842
-4.983 -10.610 3.742
Tm Al Zn
6 10 12
direct
0.000 0.249 0.695
0.500 0.751 0.195
0.500 0.751 0.805
0.000 0.248 0.000
0.500 0.752 0.500
0.000 0.249 0.305
0.000 0.522 0.853
0.000 0.886 0.658
0.000 0.745 0.000
0.500 0.478 0.647
0.500 0.255 0.500
0.000 0.522 0.147
0.500 0.478 0.353
0.000 0.886 0.342
0.500 0.114 0.842
0.500 0.114 0.158
0.000 0.968 0.863
0.500 0.032 0.637
0.500 0.372 0.846
0.500 0.550 0.000
0.000 0.450 0.500
0.000 0.628 0.654
0.000 0.628 0.346
0.500 0.943 0.000
0.000 0.968 0.137
0.500 0.372 0.154
0.000 0.057 0.500
0.500 0.032 0.363
```

Computed properties:
- magnetic moment (μB/f.u.) = 0.0
- ΔE_f (eV/atom) = -0.366
- space-group type = Pmmn



6.
The following is a DFT calculation (PBE) of a relaxed Tm3Al7Zn4 crystal.

Cell and atoms, written as POSCAR:
```
Tm3Al7Zn4
1.0
4.051 0.000 1.022
1.534 7.588 2.459
0.061 -0.146 8.297
Tm Al Zn
3 7 4
direct
0.315 0.180 0.190
0.685 0.820 0.810
0.000 0.500 0.500
0.329 0.816 0.526
0.492 0.220 0.795
0.841 0.392 0.926
0.671 0.184 0.474
0.159 0.608 0.074
0.000 0.000 0.000
0.508 0.780 0.205
0.657 0.452 0.234
0.343 0.548 0.766
0.873 0.907 0.347
0.127 0.093 0.653
```

Computed properties:
- magnetic moment (μB/f.u.) = 0.0
- ΔE_f (eV/atom) = -0.371
- space-group type = C2/m